1.
Entry from the Alexandria database: a relaxed structure of Er4In2N (GGA-PBE).

Cell: 4.6955 4.6955 15.7395 Å, 90.00 90.00 90.00°
Closest atoms and distances in Å follow each position.
Space group I4/mmm (No. 139)
One atom of each set of equivalent atoms:
Er 0.0000 0.0000 0.1616 (multiplicity 4)  1 N 2.54
Er 0.0000 0.5000 0.0000 (multiplicity 4)  2 N 2.35
In 0.0000 0.0000 0.3621 (multiplicity 4)  9 Er 3.16-3.34
N 0.0000 0.0000 0.0000 (multiplicity 2)  6 Er 2.35-2.54

Output
Uncorrected energy   -0.392 Ry/atom
Raw formation energy   -0.75 eV per atom
Spin magnetization   0.00 μB/cell



2.
Entry from the Alexandria database: a relaxed structure of TbNi2Ir4 (GGA-PBE).

Cell: 4.9330 6.6047 6.6124 Å, 90.00 90.00 90.00°
Closest atoms and distances in Å follow each position.
Space group Immm (No. 71)
One atom of each set of equivalent atoms:
Tb 0.0000 0.0000 0.0000 (multiplicity 2)  12 Ir 2.84-3.07
Ni 0.2500 0.0000 0.5000 (multiplicity 4)  2 Ni 2.47, 8 Ir 2.69
Ir 0.0000 0.3038 0.3040 (multiplicity 8)  4 Ir 2.59-2.66, 4 Ni 2.69, 1 Tb 2.84

Output
Uncorrected energy   -0.557 Ry/atom
DFT formation energy   -19.0 kJ/mol of atoms
Spin magnetization   0.00 μB/cell